Record 1
## Cu3Ag2Br8 (PBE-GGA)

Data for Cu3Ag2Br8 after structural relaxation.

Results
Total moment (μB per formula unit): 1.4
DOS at the Fermi energy (states/eV/atom): 0.61
E_tot (eV/atom): -2.6784

```
data_Cu3Ag2Br8
_cell_length_a 14.367
_cell_length_b 7.333
_cell_length_c 8.026
_cell_angle_alpha 90.00
_cell_angle_beta 120.66
_cell_angle_gamma 90.00
_symmetry_space_group_name_H-M 'C 1 2/m 1'
_symmetry_Int_Tables_number 12
loop_
_symmetry_equiv_pos_as_xyz
'x,y,z'
'-x,-y,-z'
'-x,y,-z'
'x,-y,z'
'x+1/2,y+1/2,z'
'-x+1/2,-y+1/2,-z'
'-x+1/2,y+1/2,-z'
'x+1/2,-y+1/2,z'
loop_
_atom_site_label
_atom_site_fract_x
_atom_site_fract_y
_atom_site_fract_z
Cu1 0.000 0.000 0.000
Cu2 0.000 0.246 0.500
Ag1 0.138 0.500 0.205
Br1 0.113 0.225 0.973
Br2 0.121 0.500 0.520
Br3 0.124 0.000 0.523
```

Record 2
## CuAg5Br8 (PBE-GGA)

Data for CuAg5Br8 after structural relaxation.

Results
Total moment (μB per formula unit): 0.0
DOS at the Fermi energy (states/eV/atom): 1.30
E_tot (eV/atom): -2.5456

```
data_CuAg5Br8
_cell_length_a 11.547
_cell_length_b 11.547
_cell_length_c 11.547
_cell_angle_alpha 90.00
_cell_angle_beta 90.00
_cell_angle_gamma 90.00
_symmetry_space_group_name_H-M 'F -4 3 m'
_symmetry_Int_Tables_number 216
_symmetry_space_group_name_Hall 'F -4 2 3'
loop_
_atom_site_label
_atom_site_fract_x
_atom_site_fract_y
_atom_site_fract_z
Cu1 0.000 0.000 0.000
Ag1 0.127 0.127 0.627
Ag2 0.250 0.250 0.250
Br1 0.118 0.118 0.382
Br2 0.124 0.124 0.876
```

Record 3
## Cu2Ag4Br9 (PBE-GGA)

Data for Cu2Ag4Br9 after structural relaxation.

Results
Total moment (μB per formula unit): 0.0
DOS at the Fermi energy (states/eV/atom): 0.70
E_tot (eV/atom): -2.5721

```
data_Cu2Ag4Br9
_cell_length_a 6.793
_cell_length_b 7.235
_cell_length_c 19.662
_cell_angle_alpha 100.34
_cell_angle_beta 90.02
_cell_angle_gamma 117.99
_symmetry_space_group_name_H-M 'P -1'
_symmetry_Int_Tables_number 2
loop_
_symmetry_equiv_pos_as_xyz
'x,y,z'
'-x,-y,-z'
loop_
_atom_site_label
_atom_site_fract_x
_atom_site_fract_y
_atom_site_fract_z
Cu1 0.025 0.493 0.341
Cu2 0.032 0.508 0.159
Ag1 0.268 0.112 0.520
Ag2 0.302 0.160 0.828
Ag3 0.344 0.114 0.020
Ag4 0.359 0.163 0.328
Br1 0.014 0.191 0.077
Br2 0.038 0.833 0.236
Br3 0.073 0.197 0.413
Br4 0.274 0.501 0.250
Br5 0.277 0.473 0.602
Br6 0.294 0.831 0.737
Br7 0.304 0.525 0.898
Br8 0.325 0.810 0.422
Br9 0.376 0.804 0.086
```

Record 4
## Cu2AgBr6 (PBE-GGA)

Data for Cu2AgBr6 after structural relaxation.

Results
Total moment (μB per formula unit): 0.1
DOS at the Fermi energy (states/eV/atom): 1.56
E_tot (eV/atom): -2.4778

```
data_Cu2AgBr6
_cell_length_a 7.5075
_cell_length_b 7.5075
_cell_length_c 7.4986
_cell_angle_alpha 90.00
_cell_angle_beta 90.00
_cell_angle_gamma 120.00
_symmetry_space_group_name_H-M 'P -3 m 1'
_symmetry_Int_Tables_number 164
_symmetry_space_group_name_Hall '-P 3 2"'
loop_
_atom_site_label
_atom_site_fract_x
_atom_site_fract_y
_atom_site_fract_z
Cu1 0.3333 0.6667 0.1946
Ag1 0.0000 0.0000 0.0000
Br1 0.1587 0.3174 0.2404
```

Record 5
## CuAgBr2 (PBE-GGA)

Data for CuAgBr2 after structural relaxation.

Results
Total moment (μB per formula unit): 0.0
DOS at the Fermi energy (states/eV/atom): 0.43
E_tot (eV/atom): -2.7095

```
data_CuAgBr2
_cell_length_a 3.996
_cell_length_b 3.996
_cell_length_c 5.660
_cell_angle_alpha 90.00
_cell_angle_beta 90.11
_cell_angle_gamma 90.00
_symmetry_space_group_name_H-M 'P 1 2/m 1'
_symmetry_Int_Tables_number 10
loop_
_symmetry_equiv_pos_as_xyz
'x,y,z'
'-x,-y,-z'
'-x,y,-z'
'x,-y,z'
loop_
_atom_site_label
_atom_site_fract_x
_atom_site_fract_y
_atom_site_fract_z
Cu1 0.000 0.000 0.000
Ag1 0.500 0.500 0.500
Br1 0.000 0.000 0.500
Br2 0.500 0.500 0.000
```

Record 6
## Cu4AgBr (PBE-GGA)

Data for Cu4AgBr after structural relaxation.

Results
Total moment (μB per formula unit): 0.0
DOS at the Fermi energy (states/eV/atom): 0.04
E_tot (eV/atom): -3.1973

```
data_Cu4AgBr
_cell_length_a 7.179
_cell_length_b 7.179
_cell_length_c 7.179
_cell_angle_alpha 90.00
_cell_angle_beta 90.00
_cell_angle_gamma 90.00
_symmetry_space_group_name_H-M 'F -4 3 m'
_symmetry_Int_Tables_number 216
_symmetry_space_group_name_Hall 'F -4 2 3'
loop_
_atom_site_label
_atom_site_fract_x
_atom_site_fract_y
_atom_site_fract_z
Cu1 0.125 0.125 0.125
Ag1 0.250 0.250 0.750
Br1 0.000 0.000 0.500
```

Record 7
## CuAg3Br (PBE-GGA)

Data for CuAg3Br after structural relaxation.

Results
Total moment (μB per formula unit): 0.0
DOS at the Fermi energy (states/eV/atom): 0.44
E_tot (eV/atom): -2.3902

```
data_CuAg3Br
_cell_length_a 4.913
_cell_length_b 4.913
_cell_length_c 4.913
_cell_angle_alpha 90.00
_cell_angle_beta 90.00
_cell_angle_gamma 90.00
_symmetry_space_group_name_H-M 'P m -3 m'
_symmetry_Int_Tables_number 221
_symmetry_space_group_name_Hall '-P 4 2 3'
loop_
_atom_site_label
_atom_site_fract_x
_atom_site_fract_y
_atom_site_fract_z
Cu1 0.000 0.000 0.000
Ag1 0.000 0.000 0.500
Br1 0.500 0.500 0.500
```

Record 8
## Cu2AgBr (PBE-GGA)

Data for Cu2AgBr after structural relaxation.

Results
Total moment (μB per formula unit): 0.0
DOS at the Fermi energy (states/eV/atom): 0.16
E_tot (eV/atom): -3.0202

```
data_Cu2AgBr
_cell_length_a 4.670
_cell_length_b 4.679
_cell_length_c 6.398
_cell_angle_alpha 90.00
_cell_angle_beta 90.00
_cell_angle_gamma 90.00
_symmetry_space_group_name_H-M 'C m m 2'
_symmetry_Int_Tables_number 35
loop_
_symmetry_equiv_pos_as_xyz
'x,y,z'
'-x,-y,z'
'-x,y,z'
'x,-y,z'
'x+1/2,y+1/2,z'
'-x+1/2,-y+1/2,z'
'-x+1/2,y+1/2,z'
'x+1/2,-y+1/2,z'
loop_
_atom_site_label
_atom_site_fract_x
_atom_site_fract_y
_atom_site_fract_z
Cu1 0.000 0.000 0.000
Cu2 0.000 0.500 0.176
Ag1 0.000 0.000 0.404
Br1 0.000 0.500 0.754
```

Record 9
## CuAgBr2 (PBE-GGA)

Data for CuAgBr2 after structural relaxation.

Results
Total moment (μB per formula unit): 0.0
E_tot (eV/atom): -2.7088

```
data_CuAgBr2
_cell_length_a 3.738
_cell_length_b 3.738
_cell_length_c 7.174
_cell_angle_alpha 90.00
_cell_angle_beta 90.00
_cell_angle_gamma 90.00
_symmetry_space_group_name_H-M 'P 4 m m'
_symmetry_Int_Tables_number 99
loop_
_symmetry_equiv_pos_as_xyz
'x,y,z'
'-y,x,z'
'-x,-y,z'
'y,-x,z'
'-x,y,z'
'y,x,z'
'x,-y,z'
'-y,-x,z'
loop_
_atom_site_label
_atom_site_fract_x
_atom_site_fract_y
_atom_site_fract_z
Cu1 0.000 0.000 0.000
Ag1 0.500 0.500 0.193
Br1 0.000 0.000 0.345
Br2 0.500 0.500 0.826
```

Record 10
## Cu3AgBr4 (PBE-GGA)

Data for Cu3AgBr4 after structural relaxation.

Results
Total moment (μB per formula unit): 0.0
E_tot (eV/atom): -2.9849

```
data_Cu3AgBr4
_cell_length_a 5.870
_cell_length_b 5.870
_cell_length_c 11.673
_cell_angle_alpha 90.00
_cell_angle_beta 90.00
_cell_angle_gamma 90.00
_symmetry_space_group_name_H-M 'I -4 2 m'
_symmetry_Int_Tables_number 121
_symmetry_space_group_name_Hall 'I -4 2'
loop_
_atom_site_label
_atom_site_fract_x
_atom_site_fract_y
_atom_site_fract_z
Cu1 0.000 0.000 0.000
Cu2 0.000 0.500 0.250
Ag1 0.000 0.000 0.500
Br1 0.232 0.232 0.867
```

Record 11
## CuAg2Br4 (PBE-GGA)

Data for CuAg2Br4 after structural relaxation.

Results
Total moment (μB per formula unit): 0.3
DOS at the Fermi energy (states/eV/atom): 1.32
E_tot (eV/atom): -2.6601

```
data_CuAg2Br4
_cell_length_a 6.179
_cell_length_b 6.179
_cell_length_c 11.438
_cell_angle_alpha 90.00
_cell_angle_beta 90.00
_cell_angle_gamma 90.00
_symmetry_space_group_name_H-M 'I -4 2 m'
_symmetry_Int_Tables_number 121
_symmetry_space_group_name_Hall 'I -4 2'
loop_
_atom_site_label
_atom_site_fract_x
_atom_site_fract_y
_atom_site_fract_z
Cu1 0.000 0.000 0.000
Ag1 0.000 0.500 0.250
Br1 0.235 0.235 0.113
```

Record 12
## Cu2AgBr (PBE-GGA)

Data for Cu2AgBr after structural relaxation.

Results
Total moment (μB per formula unit): 0.0
DOS at the Fermi energy (states/eV/atom): 0.01
E_tot (eV/atom): -2.7334

```
data_Cu2AgBr
_cell_length_a 6.495
_cell_length_b 6.495
_cell_length_c 6.495
_cell_angle_alpha 90.00
_cell_angle_beta 90.00
_cell_angle_gamma 90.00
_symmetry_space_group_name_H-M 'F m -3 m'
_symmetry_Int_Tables_number 225
_symmetry_space_group_name_Hall '-F 4 2 3'
loop_
_atom_site_label
_atom_site_fract_x
_atom_site_fract_y
_atom_site_fract_z
Cu1 0.250 0.250 0.250
Ag1 0.000 0.000 0.000
Br1 0.000 0.000 0.500
```

no.,E_form (uncorrected) (eV/f.u.)
1,-3.44
2,-3.90
3,-3.93
4,-1.22
5,-0.54
6,1.73
7,2.37
8,0.64
9,-0.54
10,-2.05
11,-2.13
12,1.78